Below is an optimized crystal structure of CePaCoN3, with properties calculated at the GGA-PBE level.

Cell lengths 3.4248, 7.1997, 7.1191 Å; angles 99.83, 90.00, 90.00 degrees
Atoms (fractional coordinates):
Ce 0.2500 0.1595 0.2071
Ce 0.7500 0.8405 0.7929
Pa 0.2500 0.6581 0.1844
Pa 0.7500 0.3419 0.8156
Co 0.2500 0.0994 0.5793
Co 0.7500 0.9006 0.4207
N 0.7500 0.8738 0.1333
N 0.2500 0.1262 0.8667
N 0.2500 0.8230 0.5266
N 0.7500 0.1770 0.4734
N 0.7500 0.4263 0.1383
N 0.2500 0.5737 0.8617

Output
Formation energy without anion corrections = -109 kJ per mole of atoms
E = -9.044 eV/atom
DOS at the Fermi energy = 0.671 states/eV per atom
Density = 9.06 Mg/m³